# 1
{
  "formula": "Tb2AlNi4As3",
  "functional": "PBE",
  "state": "relaxed",
  "magnetic_moment_mub_per_fu": 0.000,
  "formation_enthalpy_0k_mev_per_atom": -828,
  "sg": "P-4m2 (115)",
  "lattice": [[3.9889, 0.0000, 0.0000], [0.0000, 3.9889, 0.0000], [0.0000, 0.0000, 10.0553]],
  "species": ["Tb", "Tb", "Al", "Ni", "Ni", "Ni", "Ni", "As", "As", "As"],
  "fractional_positions": [[0.0000, 0.5000, 0.2403], [0.5000, 0.0000, 0.7597], [0.0000, 0.0000, 0.5000], [0.0000, 0.0000, 0.0000], [0.0000, 0.5000, 0.6338], [0.5000, 0.0000, 0.3662], [0.5000, 0.5000, 0.0000], [0.0000, 0.5000, 0.8662], [0.5000, 0.0000, 0.1338], [0.5000, 0.5000, 0.5000]]
}

=====

# 2
{
  "formula": "AlV2NiAs",
  "functional": "PBE",
  "state": "relaxed",
  "magnetic_moment_mub_per_fu": 2.088,
  "formation_enthalpy_0k_mev_per_atom": 950,
  "sg": "P4/mmm (123)",
  "lattice": [[4.4809, 0.0000, 0.0000], [0.0000, 4.4809, 0.0000], [0.0000, 0.0000, 4.6012]],
  "species": ["Al", "V", "V", "Ni", "As"],
  "fractional_positions": [[0.0000, 0.0000, 0.0000], [0.0000, 0.5000, 0.5000], [0.5000, 0.0000, 0.5000], [0.5000, 0.5000, 0.0000], [0.0000, 0.0000, 0.5000]]
}

=====

# 3
{
  "formula": "NpAlAs2",
  "functional": "PBE",
  "state": "relaxed",
  "magnetic_moment_mub_per_fu": 4.527,
  "formation_enthalpy_0k_mev_per_atom": 201,
  "sg": "R-3m (166)",
  "lattice": [[1.6380, 0.9457, 9.3527], [-1.6380, 0.9457, 9.3527], [0.0000, -1.8914, 9.3527]],
  "species": ["Np", "Al", "As", "As"],
  "fractional_positions": [[0.0000, 0.0000, 0.0000], [0.5000, 0.5000, 0.5000], [0.1041, 0.1041, 0.1041], [0.8959, 0.8959, 0.8959]]
}

=====

# 4
{
  "formula": "NpAlAs2",
  "functional": "PBE",
  "state": "relaxed",
  "magnetic_moment_mub_per_fu": 3.002,
  "formation_enthalpy_0k_mev_per_atom": -408,
  "sg": "P4/mmm (123)",
  "lattice": [[4.4965, 0.0000, 0.0000], [0.0000, 4.4965, 0.0000], [0.0000, 0.0000, 3.7537]],
  "species": ["Np", "Al", "As", "As"],
  "fractional_positions": [[0.0000, 0.0000, 0.0000], [0.5000, 0.5000, 0.0000], [0.0000, 0.5000, 0.5000], [0.5000, 0.0000, 0.5000]]
}

=====

# 5
{
  "formula": "AlAsO2",
  "functional": "PBE",
  "state": "relaxed",
  "magnetic_moment_mub_per_fu": 0.000,
  "e_form_raw_ev_per_atom": -0.873,
  "sg": "R-3m (166)",
  "polymorph_energy_ev_per_atom": 1.107,
  "lattice": [[1.5710, 0.9070, 6.1791], [-1.5710, 0.9070, 6.1791], [0.0000, -1.8141, 6.1791]],
  "species": ["Al", "As", "O", "O"],
  "fractional_positions": [[0.0000, 0.0000, 0.0000], [0.5000, 0.5000, 0.5000], [0.1019, 0.1019, 0.1019], [0.8981, 0.8981, 0.8981]]
}

=====

# 6
{
  "formula": "AlAs3O9",
  "functional": "PBE",
  "state": "relaxed",
  "magnetic_moment_mub_per_fu": 0.000,
  "e_form_raw_ev_per_atom": -1.446,
  "sg": "Cc (9)",
  "lattice": [[6.8086, -3.3413, 0.0000], [6.8086, 3.3413, 0.0000], [-5.8172, 0.0000, 7.8464]],
  "species": ["Al", "Al", "As", "As", "As", "As", "As", "As", "O", "O", "O", "O", "O", "O", "O", "O", "O", "O", "O", "O", "O", "O", "O", "O", "O", "O"],
  "fractional_positions": [[0.2335, 0.7665, 0.5000], [0.7665, 0.2335, 0.0000], [0.0234, 0.2310, 0.8170], [0.2310, 0.0234, 0.3170], [0.2880, 0.4540, 0.6800], [0.4540, 0.2880, 0.1800], [0.7070, 0.7715, 0.2318], [0.7715, 0.7070, 0.7318], [0.0726, 0.1488, 0.1641], [0.1188, 0.9055, 0.3351], [0.1488, 0.0726, 0.6641], [0.1980, 0.3588, 0.0059], [0.3124, 0.6509, 0.6686], [0.3588, 0.1980, 0.5059], [0.3708, 0.4446, 0.3552], [0.4446, 0.3708, 0.8552], [0.4991, 0.7911, 0.2776], [0.5207, 0.7687, 0.5727], [0.5469, 0.9856, 0.1278], [0.6509, 0.3124, 0.1686], [0.7687, 0.5207, 0.0727], [0.7911, 0.4991, 0.7776], [0.8031, 0.9217, 0.9145], [0.9055, 0.1188, 0.8351], [0.9217, 0.8031, 0.4145], [0.9856, 0.5469, 0.6278]]
}